No. 1
8
Lattice="8.618 0.000 0.000 0.000 8.618 0.000 4.309 4.309 3.678" Properties=species:S:1:pos:R:3 comment="CaLaTl2 (PBE-GGA, optimized geometry)" m_tot_mub_per_fu=0.00 energy_ev_per_atom=-3.06 space_group="I-42d (122)" pbc="T T T"
Tl 6.382 2.154 0.920
Tl 2.236 6.463 0.920
Tl 6.463 6.545 2.759
Tl 10.772 10.691 2.759
Ca 4.309 4.309 0.000
Ca 4.309 8.618 1.839
La 0.000 0.000 0.000
La 8.618 4.309 1.839

No. 2
18
Lattice="4.295 0.000 -0.848 -0.502 7.145 -2.545 0.019 0.017 11.398" Properties=species:S:1:pos:R:3 comment="HoGePt (PBE-GGA, optimized geometry)" m_tot_mub_per_fu=0.00 energy_ev_per_atom=-6.23 space_group="Imm2 (44)" pbc="T T T"
Ho -0.270 3.836 -1.366
Ho 2.764 1.477 2.700
Ho 1.007 6.253 5.103
Ho 1.670 6.792 -2.843
Ho 3.441 2.051 6.131
Ho 0.417 4.450 2.110
Ge 3.989 0.663 8.904
Ge 0.169 1.571 0.857
Ge 3.012 4.335 3.956
Ge 0.964 0.478 4.886
Ge 2.194 5.389 -0.187
Ge 1.461 3.997 7.401
Pt 3.507 5.213 6.466
Pt -0.027 6.657 -0.137
Pt 2.718 6.436 2.468
Pt 0.929 3.063 4.705
Pt 2.262 2.852 0.155
Pt 1.724 1.826 8.735

No. 3
4
Lattice="-4.341 -0.617 -0.990 -1.573 -4.149 -0.722 -2.740 -1.920 3.003" Properties=species:S:1:pos:R:3 comment="MgTaOsPt (PBE-GGA, optimized geometry)" m_tot_mub_per_fu=0.00 energy_ev_per_atom=-8.07 space_group="F-43m (216)" pbc="T T T"
Mg 0.000 0.000 0.000
Os -2.163 -1.671 0.323
Pt -6.490 -5.014 0.968
Ta -4.327 -3.343 0.645

No. 4
15
Lattice="10.149 -0.081 3.256 2.351 9.873 3.256 -0.103 -0.081 10.658" Properties=species:S:1:pos:R:3 comment="K8Rb6F (PBE-GGA, optimized geometry)" m_tot_mub_per_fu=0.00 space_group="R-3 (148)" e_form_raw_ev_per_atom=-0.32 pbc="T T T"
K 2.460 7.021 13.024
K 2.365 9.004 6.041
K 2.806 0.141 10.736
K 9.309 7.293 12.893
K 3.088 2.419 4.277
K 9.591 9.571 6.433
K 10.032 0.708 11.128
K 9.936 2.690 4.146
Rb 2.781 4.670 8.589
Rb 5.880 8.129 9.531
Rb 6.121 3.764 11.827
Rb 6.276 5.948 5.342
Rb 6.516 1.583 7.638
Rb 9.615 5.042 8.581
F 0.000 0.000 0.000

No. 5
8
Lattice="4.200 0.000 0.000 0.000 4.200 0.000 2.100 2.100 10.050" Properties=species:S:1:pos:R:3 comment="YCrAg2 (PBE-GGA, optimized geometry)" m_tot_mub_per_fu=3.91 relative_energy_mev_per_atom=351 space_group="I-42d (122)" pbc="T T T"
Y 0.000 0.000 0.000
Y 4.200 2.100 5.025
Cr 2.100 2.100 0.000
Cr 2.100 4.200 5.025
Ag 3.015 1.050 2.512
Ag 1.185 3.150 2.512
Ag 3.150 3.285 7.537
Ag 5.250 5.115 7.537

No. 6
4
Lattice="5.044 0.003 -0.004 2.342 4.467 0.004 -3.268 -2.938 2.476" Properties=species:S:1:pos:R:3 comment="MgCu2Ir (PBE-GGA, optimized geometry)" m_tot_mub_per_fu=0.00 energy_ev_per_atom=-4.69 space_group="Immm (71)" pbc="T T T"
Cu 7.353 4.450 0.000
Cu 3.726 2.255 0.000
Ir 2.735 -0.350 1.236
Mg 1.384 1.882 1.240

No. 7
3
Lattice="4.959 0.000 0.000 2.480 4.295 0.000 2.480 1.432 4.049" Properties=species:S:1:pos:R:3 comment="PmPrIr (PBE-GGA, optimized geometry)" m_tot_mub_per_fu=0.00 relative_energy_mev_per_atom=9 space_group="F-43m (216)" pbc="T T T"
Pr 4.959 2.863 2.025
Ir 2.480 1.432 1.012
Pm 0.000 0.000 0.000

No. 8
4
Lattice="5.267 -8.650 2.722 7.100 -6.543 4.095 4.579 -7.612 5.574" Properties=species:S:1:pos:R:3 comment="TaSnF2 (PBE-GGA, optimized geometry)" m_tot_mub_per_fu=0.00 relative_energy_mev_per_atom=0 space_group="R-3m (166)" e_form_raw_ev_per_atom=-1.46 pbc="T T T"
F 15.912 -21.414 11.635
F 1.034 -1.392 0.756
Sn 8.473 -11.403 6.196
Ta 0.000 0.000 0.000

no.,V (Å³ per atom)
1,34.15
2,19.45
3,16.06
4,71.69
5,22.16
6,13.95
7,28.75
8,21.66